# 1
{
  "formula": "Pm2MgCu9",
  "functional": "PBE",
  "state": "optimized geometry",
  "dos_at_fermi_per_ev_atom": 0.496,
  "delta_e_f_ev_per_atom": -0.10,
  "lattice": [[2.562, 1.479, 8.413], [-2.562, 1.479, 8.413], [0.000, -2.958, 8.413]],
  "species": ["Pm", "Pm", "Mg", "Cu", "Cu", "Cu", "Cu", "Cu", "Cu", "Cu", "Cu", "Cu"],
  "frac_coords": [[0.136, 0.136, 0.136], [0.864, 0.864, 0.864], [0.000, 0.000, 0.000], [0.080, 0.580, 0.580], [0.333, 0.333, 0.333], [0.420, 0.420, 0.920], [0.420, 0.920, 0.420], [0.500, 0.500, 0.500], [0.580, 0.080, 0.580], [0.580, 0.580, 0.080], [0.667, 0.667, 0.667], [0.920, 0.420, 0.420]]
}

# 2
{
  "formula": "Pm3Mg2Cu4",
  "functional": "PBE",
  "state": "optimized geometry",
  "dos_at_fermi_per_ev_atom": 0.835,
  "delta_e_f_ev_per_atom": -0.16,
  "lattice": [[4.967, -2.211, 0.000], [4.967, 2.211, 0.000], [-0.653, 0.000, 8.894]],
  "species": ["Pm", "Pm", "Pm", "Mg", "Mg", "Cu", "Cu", "Cu", "Cu"],
  "frac_coords": [[0.000, 0.000, 0.000], [0.368, 0.368, 0.616], [0.632, 0.632, 0.384], [0.325, 0.325, 0.221], [0.675, 0.675, 0.779], [0.072, 0.072, 0.627], [0.282, 0.282, 0.926], [0.718, 0.718, 0.074], [0.928, 0.928, 0.373]]
}

# 3
{
  "formula": "PmMg3Cu",
  "functional": "PBE",
  "state": "optimized geometry",
  "dos_at_fermi_per_ev_atom": 0.443,
  "delta_e_f_ev_per_atom": 0.00,
  "lattice": [[4.914, 0.000, 0.000], [0.000, 4.914, 0.000], [0.000, 0.000, 4.914]],
  "species": ["Pm", "Mg", "Mg", "Mg", "Cu"],
  "frac_coords": [[0.000, 0.000, 0.000], [0.000, 0.500, 0.500], [0.500, 0.000, 0.500], [0.500, 0.500, 0.000], [0.500, 0.500, 0.500]]
}

# 4
{
  "formula": "PmMg2Cu6",
  "functional": "PBE",
  "state": "optimized geometry",
  "dos_at_fermi_per_ev_atom": 0.361,
  "delta_e_f_ev_per_atom": -0.01,
  "lattice": [[-1.822, 3.418, 6.211], [1.822, -3.418, 6.211], [1.822, 3.418, -6.211]],
  "species": ["Pm", "Mg", "Mg", "Cu", "Cu", "Cu", "Cu", "Cu", "Cu"],
  "frac_coords": [[0.000, 0.000, 0.000], [0.367, 0.867, 0.500], [0.633, 0.133, 0.500], [0.009, 0.317, 0.692], [0.326, 0.500, 0.826], [0.375, 0.683, 0.692], [0.625, 0.317, 0.308], [0.674, 0.500, 0.174], [0.991, 0.683, 0.308]]
}